No. 1
This record from Alexandria describes crystalline Nd3Y2Se8 at its relaxed geometry. The functional is PBE-GGA.

a b c (Å): 14.5431 8.4178 7.1605
angles (deg): 90.00 110.02 90.00
Last column: nearest neighbours and their distance in Å.
Space group C2/m (No. 12)
Asymmetric unit:
Nd (0.0000, 0.0000, 0.0000)  6 Se 2.93-2.99
Nd (0.0000, 0.2628, 0.5000)  6 Se 2.92-2.98
Y (0.2421, 0.5000, 0.1590)  6 Se 2.83-2.94
Se (0.1194, 0.5000, 0.3926)  1 Y 2.83, 2 Nd 2.92
Se (0.1222, 0.0000, 0.4318)  1 Y 2.92, 3 Nd 2.98-2.99
Se (0.1276, 0.2382, 0.9175)  2 Nd 2.93-2.94, 2 Y 2.94

Computed properties:
* total energy: -5.9123 eV per atom
* spin magnetization: 0.00 μB per formula unit
* crystal system: monoclinic
* E_form (uncorrected): -2099 kJ/mol of formula units
* density of states at the Fermi level: 7.775 states/eV/f.u.

***

No. 2
This record from Alexandria describes crystalline NdYSe3 at its relaxed geometry. The functional is PBE-GGA.

a b c (Å): 7.2201 4.1315 9.1289
angles (deg): 90.00 92.89 90.00
Last column: nearest neighbours and their distance in Å.
Space group P2_1/m (No. 11)
Asymmetric unit:
Nd (0.1982, 0.2500, 0.1546)  7 Se 2.91-3.18
Y (0.2635, 0.7500, 0.6059)  7 Se 2.90-3.01
Se (0.0088, 0.7500, 0.3460)  3 Y 2.90-2.93, 2 Nd 3.07
Se (0.2173, 0.7500, 0.9313)  3 Nd 2.91-3.06, 1 Y 3.01
Se (0.4644, 0.7500, 0.3256)  3 Y 2.90-3.00, 2 Nd 3.18

Computed properties:
* total energy: -6.1962 eV per atom
* ΔE to the lowest computed polymorph: 19 meV/atom
* spin magnetization: 0.00 μB per formula unit
* crystal system: monoclinic
* E_form (uncorrected): -897 kJ/mol of formula units

***

- total energy of number 1 (Nd3Y2Se8)?
  -5.9123 eV per atom

***

- Which value of E_form (uncorrected) does entry 2 give?
  -897 kJ/mol of formula units

***

- Which of these has the highest total energy?
  Nd3Y2Se8